# PBE-GGA NbBSeN2, relaxed
# Polymorph energy (0 for the lowest one), meV/atom: 0
# E_form (uncorrected), eV/atom: 1.10
data_NbBSeN2
_chemical_formula_sum 'Nb1 B1 Se1 N2'
_cell_length_a 3.9337
_cell_length_b 3.9337
_cell_length_c 5.5595
_cell_angle_alpha 90.00
_cell_angle_beta 90.00
_cell_angle_gamma 90.00
_symmetry_space_group_name_H-M 'P 4/m m m'
_symmetry_Int_Tables_number 123
_symmetry_space_group_name_Hall '-P 4 2'
loop_
_atom_site_label
_atom_site_type_symbol
_atom_site_fract_x
_atom_site_fract_y
_atom_site_fract_z
Nb1 Nb 0.0000 0.0000 0.0000
B1 B 0.5000 0.5000 0.5000
Se1 Se 0.0000 0.0000 0.5000
N1 N 0.0000 0.5000 0.0000

=====

# PBE-GGA ScCdN2O, relaxed
# E_form (uncorrected), eV/atom: 0.10
data_ScCdN2O
_chemical_formula_sum 'Sc1 Cd1 N2 O1'
_cell_length_a 4.2843
_cell_length_b 4.2843
_cell_length_c 4.0056
_cell_angle_alpha 90.00
_cell_angle_beta 90.00
_cell_angle_gamma 90.00
_symmetry_space_group_name_H-M 'P 4/m m m'
_symmetry_Int_Tables_number 123
_symmetry_space_group_name_Hall '-P 4 2'
loop_
_atom_site_label
_atom_site_type_symbol
_atom_site_fract_x
_atom_site_fract_y
_atom_site_fract_z
Sc1 Sc 0.0000 0.0000 0.0000
Cd1 Cd 0.5000 0.5000 0.5000
N1 N 0.0000 0.5000 0.0000
O1 O 0.0000 0.0000 0.5000

=====

# PBE-GGA Tb2PrRu, relaxed
# Polymorph energy (0 for the lowest one), meV/atom: 50
# ΔE_f, eV per atom: -0.21
data_Tb2PrRu
_chemical_formula_sum 'Tb2 Pr1 Ru1'
_cell_length_a 3.4642
_cell_length_b 3.4642
_cell_length_c 9.1597
_cell_angle_alpha 90.00
_cell_angle_beta 90.00
_cell_angle_gamma 90.00
_symmetry_space_group_name_H-M 'P 4/m m m'
_symmetry_Int_Tables_number 123
_symmetry_space_group_name_Hall '-P 4 2'
loop_
_atom_site_label
_atom_site_type_symbol
_atom_site_fract_x
_atom_site_fract_y
_atom_site_fract_z
Tb1 Tb 0.0000 0.0000 0.1794
Pr1 Pr 0.5000 0.5000 0.5000
Ru1 Ru 0.5000 0.5000 0.0000

=====

# PBE-GGA Ce2PrScTe4, relaxed
# E_form (uncorrected), eV/atom: -1.30
data_Ce2PrScTe4
_chemical_formula_sum 'Ce2 Pr1 Sc1 Te4'
_cell_length_a 7.6871
_cell_length_b 4.3880
_cell_length_c 7.7021
_cell_angle_alpha 90.00
_cell_angle_beta 108.96
_cell_angle_gamma 90.00
_symmetry_space_group_name_H-M 'P 1 2/m 1'
_symmetry_Int_Tables_number 10
loop_
_symmetry_equiv_pos_as_xyz
'x,y,z'
'-x,-y,-z'
'-x,y,-z'
'x,-y,z'
loop_
_atom_site_label
_atom_site_type_symbol
_atom_site_fract_x
_atom_site_fract_y
_atom_site_fract_z
Ce1 Ce 0.0000 0.0000 0.0000
Ce2 Ce 0.5000 0.5000 0.0000
Pr1 Pr 0.0000 0.5000 0.5000
Sc1 Sc 0.5000 0.0000 0.5000
Te1 Te 0.2611 0.0000 0.7434
Te2 Te 0.2685 0.5000 0.2662

=====

Number 1: total DFT energy (no corrections) -31.377 eV for the cell shown. Number 2: total DFT energy (no corrections) -28.371 eV for the cell shown. Number 3: total DFT energy (no corrections) -24.139 eV for the cell shown. Number 4: total DFT energy (no corrections) -45.950 eV for the cell shown.